Record 1
Density functional theory data (GGA-PBEsol) for crystalline Pu3Sn at its relaxed geometry.

Geometry as POSCAR:
```
Pu3Sn
1.0
4.5691 0.0000 0.0000
0.0000 4.5691 0.0000
0.0000 0.0000 4.5691
Pu Sn
3 1
direct
0.0000 0.0000 0.5000 Pu
0.0000 0.5000 0.0000 Pu
0.5000 0.0000 0.0000 Pu
0.5000 0.5000 0.5000 Sn
```

Calculated values
**D(E_F)**: 15.16 states/eV/f.u.
**Formation energy from the elements**: 186.1 meV per atom

Record 2
Density functional theory data (GGA-PBEsol) for crystalline PuTe at its relaxed geometry.

Geometry as POSCAR:
```
PuTe
1.0
6.1316 0.0000 0.0000
0.0000 6.1316 0.0000
0.0000 0.0000 6.1316
Pu Te
4 4
direct
0.0000 0.0000 0.0000 Pu
0.0000 0.5000 0.5000 Pu
0.5000 0.0000 0.5000 Pu
0.5000 0.5000 0.0000 Pu
0.0000 0.0000 0.5000 Te
0.0000 0.5000 0.0000 Te
0.5000 0.0000 0.0000 Te
0.5000 0.5000 0.5000 Te
```

Calculated values
**Formation energy (no corrections)**: -144 kJ/mol of formula units
**D(E_F)**: 10.05 states/eV/f.u.

Record 3
Density functional theory data (GGA-PBEsol) for crystalline RbRe3Rh at its relaxed geometry.

Geometry as POSCAR:
```
RbRe3Rh
1.0
4.7759 0.0000 0.0000
0.0000 4.7759 0.0000
0.0000 0.0000 4.7759
Rb Re Rh
1 3 1
direct
0.0000 0.0000 0.0000 Rb
0.0000 0.5000 0.5000 Re
0.5000 0.0000 0.5000 Re
0.5000 0.5000 0.0000 Re
0.5000 0.5000 0.5000 Rh
```

Calculated values
**D(E_F)**: 5.17 states/eV/f.u.
**Formation energy from the elements**: 2539.2 meV per atom

Record 4
Density functional theory data (GGA-PBEsol) for crystalline RbReS2 at its relaxed geometry.

Geometry as POSCAR:
```
RbReS2
1.0
3.5929 0.0000 0.0000
-1.7965 3.1116 0.0000
0.0000 0.0000 26.0531
Rb Re S
3 3 6
direct
0.0000 0.0000 0.0000 Rb
0.3333 0.6667 0.6667 Rb
0.6667 0.3333 0.3333 Rb
0.0000 0.0000 0.5000 Re
0.3333 0.6667 0.1667 Re
0.6667 0.3333 0.8333 Re
0.0000 0.0000 0.1183 S
0.0000 0.0000 0.8817 S
0.3333 0.6667 0.5483 S
0.3333 0.6667 0.7850 S
0.6667 0.3333 0.2150 S
0.6667 0.3333 0.4517 S
```

Calculated values
**Formation energy (no corrections)**: -54 kJ/mol of formula units
**D(E_F)**: 2.34 states/eV/f.u.

Record 5
Density functional theory data (GGA-PBEsol) for crystalline Rb2Re3S6 at its relaxed geometry.

Geometry as POSCAR:
```
Rb2Re3S6
1.0
8.4053 -4.8752 0.0000
8.4053 4.8752 0.0000
-0.2837 0.0000 11.9383
Rb Re S
8 12 24
direct
0.1207 0.8793 0.7500 Rb
0.1349 0.6375 0.9807 Rb
0.2840 0.7160 0.2500 Rb
0.3625 0.8651 0.5193 Rb
0.6375 0.1349 0.4807 Rb
0.7160 0.2840 0.7500 Rb
0.8651 0.3625 0.0193 Rb
0.8793 0.1207 0.2500 Rb
0.0375 0.3796 0.6281 Re
0.1020 0.3156 0.4131 Re
0.1909 0.4962 0.5227 Re
0.3156 0.1020 0.9131 Re
0.3796 0.0375 0.1281 Re
0.4962 0.1909 0.0227 Re
0.5038 0.8091 0.9773 Re
0.6204 0.9625 0.8719 Re
0.6844 0.8980 0.0869 Re
0.8091 0.5038 0.4773 Re
0.8980 0.6844 0.5869 Re
0.9625 0.6204 0.3719 Re
0.0471 0.7780 0.4824 S
0.0738 0.2271 0.7978 S
0.1183 0.5504 0.7159 S
0.2190 0.3005 0.0614 S
0.2220 0.9529 0.0176 S
0.2271 0.0738 0.2978 S
0.2354 0.4339 0.3270 S
0.3005 0.2190 0.5614 S
0.4339 0.2354 0.8270 S
0.4359 0.5017 0.5719 S
0.4496 0.8817 0.7841 S
0.4983 0.5641 0.9281 S
0.5017 0.4359 0.0719 S
0.5504 0.1183 0.2159 S
0.5641 0.4983 0.4281 S
0.5661 0.7646 0.1730 S
0.6995 0.7810 0.4386 S
0.7646 0.5661 0.6730 S
0.7729 0.9262 0.7022 S
0.7780 0.0471 0.9824 S
0.7810 0.6995 0.9386 S
0.8817 0.4496 0.2841 S
0.9262 0.7729 0.2022 S
0.9529 0.2220 0.5176 S
```

Calculated values
**Formation energy (no corrections)**: -874 kJ/mol of formula units

Record 6
Density functional theory data (GGA-PBEsol) for crystalline Rb2ReSb at its relaxed geometry.

Geometry as POSCAR:
```
Rb2ReSb
1.0
13.2868 0.0000 0.0000
0.0000 13.2868 0.0000
0.0000 0.0000 5.0561
Rb Re Sb
8 4 4
direct
0.0281 0.2500 0.1250 Rb
0.2500 0.5281 0.3750 Rb
0.2500 0.9719 0.8750 Rb
0.4719 0.2500 0.6250 Rb
0.5281 0.7500 0.6250 Rb
0.7500 0.0281 0.8750 Rb
0.7500 0.4719 0.3750 Rb
0.9719 0.7500 0.1250 Rb
0.0000 0.0000 0.0000 Re
0.0000 0.5000 0.2500 Re
0.5000 0.0000 0.7500 Re
0.5000 0.5000 0.5000 Re
0.0000 0.0000 0.5000 Sb
0.0000 0.5000 0.7500 Sb
0.5000 0.0000 0.2500 Sb
0.5000 0.5000 0.0000 Sb
```

Calculated values
**Formation energy (no corrections)**: 366 kJ/mol of formula units
**D(E_F)**: 4.77 states/eV/f.u.

Taking the records one at a time from the top gives raw total energy values of -49.0 -20.2 -36.5 -23.7 -77.4 -16.1 eV/f.u..
Taking the records one at a time from the top gives size of the total moment values of 16.7 5.7 2.8 1.5 0.0 2.0 μB per formula unit.